No. 1
{"formula": "Pm5CdPb2", "functional": "GGA-PBE", "state": "relaxed", "lattice": [[5.406, 0.000, 0.000], [2.703, 4.682, 0.000], [2.703, 1.561, 9.665]], "species": ["Pm", "Pm", "Pm", "Pm", "Pm", "Pb", "Pb", "Cd"], "frac_coords": [[0.500, 0.500, 0.500], [0.239, 0.239, 0.282], [0.371, 0.371, 0.887], [0.629, 0.629, 0.113], [0.761, 0.761, 0.718], [0.885, 0.885, 0.346], [0.115, 0.115, 0.654], [0.000, 0.000, 0.000]], "formation_enthalpy_0k_kj_per_mol_atoms": -30.9, "spacegroup": "R-3m, No. 166"}

=====

No. 2
{"formula": "Pm2CdPb5", "functional": "GGA-PBE", "state": "relaxed", "lattice": [[4.958, 0.000, 0.000], [0.000, 6.804, 0.000], [0.000, 0.000, 13.628]], "species": ["Cd", "Cd", "Pb", "Pb", "Pb", "Pb", "Pb", "Pb", "Pb", "Pb", "Pb", "Pb", "Pm", "Pm", "Pm", "Pm"], "frac_coords": [[0.000, 0.500, 0.000], [0.000, 0.000, 0.500], [0.000, 0.500, 0.500], [0.000, 0.517, 0.246], [0.500, 0.271, 0.118], [0.000, 0.000, 0.000], [0.000, 0.017, 0.254], [0.000, 0.983, 0.746], [0.500, 0.771, 0.382], [0.500, 0.729, 0.882], [0.000, 0.483, 0.754], [0.500, 0.229, 0.618], [0.500, 0.769, 0.130], [0.500, 0.231, 0.870], [0.500, 0.731, 0.630], [0.500, 0.269, 0.370]], "formation_enthalpy_0k_kj_per_mol_atoms": -36.1, "spacegroup": "Pbam, No. 55"}

=====

No. 3
{"formula": "Pm12CdPb7", "functional": "GGA-PBE", "state": "relaxed", "lattice": [[-2.119, -6.343, 7.229], [5.296, -4.256, -7.128], [4.408, 8.100, 3.454]], "species": ["Pm", "Pm", "Pm", "Pm", "Pm", "Pm", "Pm", "Pm", "Pm", "Pm", "Pm", "Pm", "Pb", "Pb", "Pb", "Pb", "Pb", "Pb", "Pb", "Cd"], "frac_coords": [[0.466, 0.143, 0.466], [0.466, 0.466, 0.143], [0.724, 0.276, 0.000], [0.276, 0.724, 0.000], [0.276, 0.000, 0.724], [0.724, 0.000, 0.276], [0.857, 0.534, 0.534], [0.000, 0.724, 0.276], [0.534, 0.534, 0.857], [0.000, 0.276, 0.724], [0.143, 0.466, 0.466], [0.534, 0.857, 0.534], [0.517, 0.854, 0.854], [0.854, 0.517, 0.854], [0.146, 0.483, 0.146], [0.500, 0.500, 0.500], [0.483, 0.146, 0.146], [0.854, 0.854, 0.517], [0.146, 0.146, 0.483], [0.000, 0.000, 0.000]], "formation_enthalpy_0k_kj_per_mol_atoms": -21.0, "spacegroup": "R-3m, No. 166"}

=====

No. 4
{"formula": "PmCdPb", "functional": "GGA-PBE", "state": "relaxed", "lattice": [[3.695, 0.000, 0.000], [0.000, 3.695, 0.000], [-1.847, -1.847, 6.219]], "species": ["Pb", "Cd", "Pm"], "frac_coords": [[0.294, 0.294, 0.588], [0.947, 0.947, 0.894], [0.609, 0.609, 0.218]], "e_above_lowest_polymorph_ev_per_atom": 0.088, "formation_enthalpy_0k_kj_per_mol_atoms": -25.1, "spacegroup": "I4mm, No. 107"}

=====

No. 5
{"formula": "Pm6CdPb3", "functional": "GGA-PBE", "state": "relaxed", "lattice": [[8.207, 0.000, 0.000], [4.104, 7.108, 0.000], [4.104, 2.369, 6.701]], "species": ["Pm", "Pm", "Pm", "Pm", "Pm", "Pm", "Cd", "Pb", "Pb", "Pb"], "frac_coords": [[0.754, 0.246, 0.246], [0.246, 0.754, 0.754], [0.754, 0.246, 0.754], [0.246, 0.246, 0.754], [0.754, 0.754, 0.246], [0.246, 0.754, 0.246], [0.000, 0.000, 0.000], [0.250, 0.250, 0.250], [0.750, 0.750, 0.750], [0.500, 0.500, 0.500]], "formation_enthalpy_0k_kj_per_mol_atoms": 12.5, "spacegroup": "Fm-3m, No. 225"}

=====

No. 6
{"formula": "Pm7Cd2Pb2", "functional": "GGA-PBE", "state": "relaxed", "lattice": [[-3.012, 6.233, -0.494], [-5.513, -3.092, -5.410], [-2.820, -3.823, 5.059]], "species": ["Cd", "Cd", "Pm", "Pm", "Pm", "Pm", "Pm", "Pm", "Pm", "Pb", "Pb"], "frac_coords": [[0.279, 0.000, 0.721], [0.721, 0.000, 0.279], [0.500, 0.235, 0.500], [0.500, 0.709, 0.000], [0.000, 0.291, 0.500], [0.000, 0.709, 0.500], [0.000, 0.000, 0.000], [0.500, 0.291, 0.000], [0.500, 0.765, 0.500], [0.805, 0.500, 0.805], [0.195, 0.500, 0.195]], "formation_enthalpy_0k_kj_per_mol_atoms": -1.6, "spacegroup": "Cmmm, No. 65"}